# PBE-GGA Dy4Er5Sc2, optimized geometry
# Total magnetic moment   0.01 μB/cell
# V   31.27 A^3/atom
# Energy of formation   0.278 eV per atom
# DOS(E_F)   34.1 states/eV/cell
# Crystal system   orthorhombic
data_Dy4Er5Sc2
_cell_length_a 3.4313
_cell_length_b 8.9897
_cell_length_c 22.3020
_cell_angle_alpha 90.00
_cell_angle_beta 90.00
_cell_angle_gamma 90.00
_symmetry_space_group_name_H-M 'I m m m'
_symmetry_Int_Tables_number 71
_symmetry_space_group_name_Hall '-I 2 2'
loop_
_atom_site_label
_atom_site_type_symbol
_atom_site_fract_x
_atom_site_fract_y
_atom_site_fract_z
Dy1 Dy 0.0000 0.0000 0.0988
Dy2 Dy 0.0000 0.3054 0.5000
Er1 Er 0.0000 0.2024 0.3487
Er2 Er 0.0000 0.5000 0.0000
Sc1 Sc 0.0000 0.0000 0.2299